# 1
# MgTlI2O GGA-PBE relaxed
# E above lowest polymorph (eV per atom): 0.6690
# ΔE_f (raw) (eV/f.u.): -0.75
# Crystal system: tetragonal
# VASP energy (eV/atom): -2.553
# D(E_F) (states/eV/f.u.): 1.82
data_MgTlI2O
_cell_length_a 6.196
_cell_length_b 6.196
_cell_length_c 4.129
_cell_angle_alpha 90.00
_cell_angle_beta 90.00
_cell_angle_gamma 90.00
_symmetry_space_group_name_H-M 'P 4/m m m'
_symmetry_Int_Tables_number 123
_symmetry_space_group_name_Hall '-P 4 2'
loop_
_atom_site_label
_atom_site_fract_x
_atom_site_fract_y
_atom_site_fract_z
Mg1 0.000 0.000 0.000
Tl1 0.500 0.500 0.500
I1 0.000 0.500 0.500
O1 0.500 0.500 0.000

=====

# 2
# CePm3Dy8 GGA-PBE relaxed
# Energy of formation from the pure elements (meV per atom): 599
# Crystal system: tetragonal
# VASP energy (eV/atom): -4.152
# D(E_F) (states/eV/f.u.): 19.18
data_CePm3Dy8
_cell_length_a 8.689
_cell_length_b 8.689
_cell_length_c 11.312
_cell_angle_alpha 90.00
_cell_angle_beta 90.00
_cell_angle_gamma 90.00
_symmetry_space_group_name_H-M 'I -4 2 m'
_symmetry_Int_Tables_number 121
_symmetry_space_group_name_Hall 'I -4 2'
loop_
_atom_site_label
_atom_site_fract_x
_atom_site_fract_y
_atom_site_fract_z
Ce1 0.000 0.000 0.000
Pm1 0.000 0.000 0.500
Pm2 0.000 0.500 0.250
Dy1 0.124 0.124 0.763
Dy2 0.233 0.233 0.028

=====

# 3
# Cu2TcPt GGA-PBE relaxed
# E above lowest polymorph (eV per atom): 0.0749
# Energy of formation from the pure elements (meV per atom): 59
# Crystal system: trigonal
# VASP energy (eV/atom): -6.091
# D(E_F) (states/eV/f.u.): 4.69
data_Cu2TcPt
_cell_length_a 2.7140
_cell_length_b 2.7140
_cell_length_c 25.9066
_cell_angle_alpha 90.00
_cell_angle_beta 90.00
_cell_angle_gamma 120.00
_symmetry_space_group_name_H-M 'R 3 m'
_symmetry_Int_Tables_number 160
_symmetry_space_group_name_Hall 'R 3 -2"'
loop_
_atom_site_label
_atom_site_fract_x
_atom_site_fract_y
_atom_site_fract_z
Cu1 0.0000 0.0000 0.0000
Cu2 0.0000 0.0000 0.2561
Tc1 0.0000 0.0000 0.7499
Pt1 0.0000 0.0000 0.5040

=====

# 4
# La3BeI GGA-PBE relaxed
# E above lowest polymorph (eV per atom): 0.0000
# ΔE_f (raw) (eV/f.u.): 0.06
# Crystal system: cubic
# VASP energy (eV/atom): -4.000
# D(E_F) (states/eV/f.u.): 6.70
data_La3BeI
_cell_length_a 5.531
_cell_length_b 5.531
_cell_length_c 5.531
_cell_angle_alpha 90.00
_cell_angle_beta 90.00
_cell_angle_gamma 90.00
_symmetry_space_group_name_H-M 'P m -3 m'
_symmetry_Int_Tables_number 221
_symmetry_space_group_name_Hall '-P 4 2 3'
loop_
_atom_site_label
_atom_site_fract_x
_atom_site_fract_y
_atom_site_fract_z
La1 0.000 0.000 0.500
Be1 0.000 0.000 0.000
I1 0.500 0.500 0.500

=====

# 5
# BaCaAsO4 GGA-PBE relaxed
# ΔE_f (raw) (eV/f.u.): -12.38
# Crystal system: cubic
# VASP energy (eV/atom): -5.827
# D(E_F) (states/eV/f.u.): 2.00
data_BaCaAsO4
_cell_length_a 8.950
_cell_length_b 8.950
_cell_length_c 8.950
_cell_angle_alpha 90.00
_cell_angle_beta 90.00
_cell_angle_gamma 90.00
_symmetry_space_group_name_H-M 'F -4 3 m'
_symmetry_Int_Tables_number 216
_symmetry_space_group_name_Hall 'F -4 2 3'
loop_
_atom_site_label
_atom_site_fract_x
_atom_site_fract_y
_atom_site_fract_z
Ba1 0.000 0.000 0.000
Ca1 0.250 0.250 0.750
As1 0.000 0.000 0.500
O1 0.111 0.111 0.611

=====

# 6
# PrU2Se5 GGA-PBE relaxed
# E above lowest polymorph (eV per atom): 0.0150
# ΔE_f (raw) (eV/f.u.): -10.60
# Crystal system: orthorhombic
# VASP energy (eV/atom): -6.922
# D(E_F) (states/eV/f.u.): 14.22
data_PrU2Se5
_cell_length_a 12.592
_cell_length_b 8.290
_cell_length_c 7.830
_cell_angle_alpha 90.00
_cell_angle_beta 90.00
_cell_angle_gamma 90.00
_symmetry_space_group_name_H-M 'P n m a'
_symmetry_Int_Tables_number 62
loop_
_symmetry_equiv_pos_as_xyz
'x,y,z'
'-x,-y,-z'
'-x+1/2,-y,z+1/2'
'x+1/2,y,-z+1/2'
'x+1/2,-y+1/2,-z+1/2'
'-x+1/2,y+1/2,z+1/2'
'-x,y+1/2,-z'
'x,-y+1/2,z'
loop_
_atom_site_label
_atom_site_fract_x
_atom_site_fract_y
_atom_site_fract_z
Pr1 0.007 0.250 0.086
U1 0.182 0.501 0.508
Se1 0.000 0.250 0.474
Se2 0.111 0.548 0.162
Se3 0.184 0.250 0.820
Se4 0.219 0.750 0.789

=====

Which of these has the highest D(E_F)?
CePm3Dy8

=====

D(E_F) of number 2 (CePm3Dy8)?
19.18 states/eV/f.u.